No. 1
La5TlTe8 | PBE-GGA | relaxed

Results
total moment = 0.000 μB per atom
total energy = -5.205 eV/atom
uncorrected formation energy = -1.48 eV per atom

Cell lengths 8.450, 8.450, 8.450 Å; angles 109.29, 109.29, 109.83 degrees
Fractional coordinates of all 14 atoms:
La1 0.000 0.000 0.000
La2 0.132 0.249 0.622
La3 0.490 0.868 0.117
La4 0.627 0.510 0.378
La5 0.751 0.373 0.883
Tl1 0.250 0.750 0.500
Te1 0.017 0.619 0.755
Te2 0.220 0.464 0.088
Te3 0.376 0.132 0.912
Te4 0.381 0.135 0.398
Te5 0.536 0.624 0.756
Te6 0.737 0.983 0.602
Te7 0.865 0.263 0.245
Te8 0.868 0.780 0.244


No. 2
ErV2Ru3 | PBE-GGA | relaxed

Results
DOS(E_F) = 6.23 states/eV/f.u.
total moment = 0.000 μB per atom
total energy = -8.730 eV/atom

Cell lengths 3.038, 3.038, 10.090 Å; angles 90.00, 90.00, 90.00 degrees
Fractional coordinates of all 6 atoms:
Er1 0.000 0.000 0.000
V1 0.000 0.000 0.345
V2 0.000 0.000 0.655
Ru1 0.500 0.500 0.211
Ru2 0.500 0.500 0.500
Ru3 0.500 0.500 0.789